No. 1
Entry from Alexandria via LeMat-Bulk: a relaxed structure of Hf3Zr3In (GGA-PBE).

abc: 8.4743 8.4743 5.1104
angles: 90.00 90.00 120.00
Element x y z (fractional)
Hf (0.0979, 0.6108, 0.2500)
Hf (0.3892, 0.4872, 0.2500)
Hf (0.4872, 0.0979, 0.7500)
Hf (0.5128, 0.9021, 0.2500)
Hf (0.6108, 0.5128, 0.7500)
Hf (0.9021, 0.3892, 0.7500)
Zr (0.0702, 0.8212, 0.7500)
Zr (0.1788, 0.2491, 0.7500)
Zr (0.2491, 0.0702, 0.2500)
Zr (0.7509, 0.9298, 0.7500)
Zr (0.8212, 0.7509, 0.2500)
Zr (0.9298, 0.1788, 0.2500)
In (0.3333, 0.6667, 0.7500)
In (0.6667, 0.3333, 0.2500)

- Total magnetic moment: 0.000 Bohr magnetons per cell
- Energy above the lowest structure with this stoichiometry: 32.8 kJ/mol of formula units
- Theoretical density: 9.7 g/cm³
- Raw total energy: -8.343 eV/atom



No. 2
Entry from Alexandria via LeMat-Bulk: a relaxed structure of HfZr5In2 (GGA-PBE).

abc: 6.3075 12.6142 4.4726
angles: 90.00 90.00 90.00
Element x y z (fractional)
Hf (0.0000, 0.0000, 0.0000)
Hf (0.5000, 0.5000, 0.0000)
Zr (0.0000, 0.5000, 0.0000)
Zr (0.0011, 0.2491, 0.0000)
Zr (0.2481, 0.8759, 0.5000)
Zr (0.2519, 0.3759, 0.5000)
Zr (0.4989, 0.7491, 0.0000)
Zr (0.5000, 0.0000, 0.0000)
Zr (0.5011, 0.2509, 0.0000)
Zr (0.7481, 0.6241, 0.5000)
Zr (0.7519, 0.1241, 0.5000)
Zr (0.9989, 0.7509, 0.0000)
In (0.2503, 0.1250, 0.5000)
In (0.2497, 0.6250, 0.5000)
In (0.7503, 0.3750, 0.5000)
In (0.7497, 0.8750, 0.5000)

- Total magnetic moment: 0.000 Bohr magnetons per cell
- Theoretical density: 8.1 g/cm³
- Raw total energy: -7.504 eV/atom



No. 3
Entry from Alexandria via LeMat-Bulk: a relaxed structure of Hf4Zr4In3 (GGA-PBE).

abc: 18.0997 18.0997 18.0997
angles: 169.51 166.75 16.93
Element x y z (fractional)
Hf (0.0920, 0.0920, 0.0000)
Hf (0.2710, 0.2710, 0.0000)
Hf (0.7290, 0.7290, 0.0000)
Hf (0.9080, 0.9080, 0.0000)
Zr (0.1824, 0.1824, 0.0000)
Zr (0.4543, 0.4543, 0.0000)
Zr (0.5457, 0.5457, 0.0000)
Zr (0.8176, 0.8176, 0.0000)
In (0.0000, 0.0000, 0.0000)
In (0.3638, 0.3638, 0.0000)
In (0.6362, 0.6362, 0.0000)

- Total magnetic moment: 0.000 Bohr magnetons per cell
- Theoretical density: 9.6 g/cm³
- Raw total energy: -7.628 eV/atom



No. 4
Entry from Alexandria via LeMat-Bulk: a relaxed structure of Hf12Zr5In2 (GGA-PBE).

abc: 8.0878 8.0878 7.6883
angles: 92.26 92.26 60.58
Element x y z (fractional)
Hf (0.0586, 0.0586, 0.3312)
Hf (0.0653, 0.6840, 0.3509)
Hf (0.1690, 0.5288, 0.7620)
Hf (0.3160, 0.9347, 0.6491)
Hf (0.4166, 0.4166, 0.1218)
Hf (0.4712, 0.8310, 0.2380)
Hf (0.5288, 0.1690, 0.7620)
Hf (0.5834, 0.5834, 0.8782)
Hf (0.6840, 0.0653, 0.3509)
Hf (0.8310, 0.4712, 0.2380)
Hf (0.9347, 0.3160, 0.6491)
Hf (0.9414, 0.9414, 0.6688)
Zr (0.1974, 0.1974, 0.0128)
Zr (0.2640, 0.2640, 0.4186)
Zr (0.5000, 0.5000, 0.5000)
Zr (0.7360, 0.7360, 0.5814)
Zr (0.8026, 0.8026, 0.9872)
In (0.1821, 0.8179, 0.0000)
In (0.8179, 0.1821, 0.0000)

- Total magnetic moment: 0.000 Bohr magnetons per cell
- Theoretical density: 10.7 g/cm³
- Raw total energy: -8.762 eV/atom



No. 5
Entry from Alexandria via LeMat-Bulk: a relaxed structure of Hf3Zr3In2 (GGA-PBE).

abc: 4.4355 4.4512 8.9313
angles: 90.00 90.00 90.00
Element x y z (fractional)
Hf (0.0000, 0.0000, 0.0000)
Hf (0.0000, 0.0000, 0.5000)
Hf (0.5000, 0.5000, 0.0000)
Zr (0.5000, 0.0000, 0.2484)
Zr (0.5000, 0.0000, 0.7516)
Zr (0.5000, 0.5000, 0.5000)
In (0.0000, 0.5000, 0.2492)
In (0.0000, 0.5000, 0.7508)

- Total magnetic moment: 0.000 Bohr magnetons per cell
- Theoretical density: 9.8 g/cm³
- Raw total energy: -7.813 eV/atom



No. 6
Entry from Alexandria via LeMat-Bulk: a relaxed structure of HfZr3In3 (GGA-PBE).

abc: 7.2015 7.2015 6.4149
angles: 90.00 90.00 90.09
Element x y z (fractional)
Hf (0.2190, 0.2190, 0.0000)
Hf (0.7810, 0.7810, 0.0000)
Zr (0.0000, 0.5000, 0.2455)
Zr (0.0000, 0.5000, 0.7545)
Zr (0.5000, 0.0000, 0.2455)
Zr (0.5000, 0.0000, 0.7545)
Zr (0.5000, 0.5000, 0.2428)
Zr (0.5000, 0.5000, 0.7572)
In (0.2179, 0.7821, 0.0000)
In (0.2209, 0.7791, 0.5000)
In (0.2243, 0.2243, 0.5000)
In (0.7757, 0.7757, 0.5000)
In (0.7791, 0.2209, 0.5000)
In (0.7821, 0.2179, 0.0000)

- Total magnetic moment: 0.000 Bohr magnetons per cell
- Energy above the lowest structure with this stoichiometry: 48.6 kJ/mol of formula units
- Theoretical density: 8.0 g/cm³
- Raw total energy: -6.331 eV/atom



No. 7
Entry from Alexandria via LeMat-Bulk: a relaxed structure of HfZr3In3 (GGA-PBE).

abc: 8.4367 8.4367 5.1297
angles: 90.00 90.00 120.00
Element x y z (fractional)
Hf (0.3333, 0.6667, 0.2500)
Hf (0.6667, 0.3333, 0.7500)
Zr (0.0229, 0.7911, 0.2500)
Zr (0.2089, 0.2319, 0.2500)
Zr (0.2319, 0.0229, 0.7500)
Zr (0.7681, 0.9771, 0.2500)
Zr (0.7911, 0.7681, 0.7500)
Zr (0.9771, 0.2089, 0.7500)
In (0.0854, 0.6215, 0.7500)
In (0.3785, 0.4639, 0.7500)
In (0.4639, 0.0854, 0.2500)
In (0.5361, 0.9146, 0.7500)
In (0.6215, 0.5361, 0.2500)
In (0.9146, 0.3785, 0.2500)

- Total magnetic moment: 0.000 Bohr magnetons per cell
- Energy above the lowest structure with this stoichiometry: 0.0 kJ/mol of formula units
- Theoretical density: 8.4 g/cm³
- Raw total energy: -6.403 eV/atom



No. 8
Entry from Alexandria via LeMat-Bulk: a relaxed structure of HfZrIn3 (GGA-PBE).

abc: 5.3477 5.3477 5.3477
angles: 90.00 90.00 90.00
Element x y z (fractional)
Hf (0.0000, 0.0000, 0.0000)
Zr (0.5000, 0.5000, 0.5000)
In (0.0000, 0.0000, 0.5000)
In (0.0000, 0.5000, 0.0000)
In (0.5000, 0.0000, 0.0000)

- Total magnetic moment: 0.001 Bohr magnetons per cell
- Energy above the lowest structure with this stoichiometry: 413.7 kJ/mol of formula units
- Theoretical density: 6.7 g/cm³
- Raw total energy: -4.456 eV/atom



No. 9
Entry from Alexandria via LeMat-Bulk: a relaxed structure of HfZrIn2 (GGA-PBE).

abc: 5.4448 5.4448 3.1385
angles: 90.00 90.00 109.74
Element x y z (fractional)
Hf (0.0000, 0.0000, 0.0000)
Zr (0.5000, 0.5000, 0.0000)
In (0.0000, 0.5000, 0.5000)
In (0.5000, 0.0000, 0.5000)

- Total magnetic moment: 0.000 Bohr magnetons per cell
- Energy above the lowest structure with this stoichiometry: 1.3 kJ/mol of formula units
- Theoretical density: 9.5 g/cm³
- Raw total energy: -6.232 eV/atom



No. 10
Entry from Alexandria via LeMat-Bulk: a relaxed structure of Hf2Zr2In7 (GGA-PBE).

abc: 6.8446 6.8446 6.3364
angles: 107.50 107.50 76.90
Element x y z (fractional)
Hf (0.2383, 0.2383, 0.4516)
Hf (0.7617, 0.7617, 0.5484)
Zr (0.1808, 0.8192, 0.5000)
Zr (0.8192, 0.1808, 0.5000)
In (0.0000, 0.0000, 0.0000)
In (0.1064, 0.5335, 0.8424)
In (0.4579, 0.4579, 0.2398)
In (0.4665, 0.8936, 0.1576)
In (0.5335, 0.1064, 0.8424)
In (0.5421, 0.5421, 0.7602)
In (0.8936, 0.4665, 0.1576)

- Total magnetic moment: 0.000 Bohr magnetons per cell
- Theoretical density: 8.4 g/cm³
- Raw total energy: -5.049 eV/atom



No. 11
Entry from Alexandria via LeMat-Bulk: a relaxed structure of HfZr4In3 (GGA-PBE).

abc: 10.3963 6.3707 5.4139
angles: 90.00 90.00 90.00
Element x y z (fractional)
Hf (0.0000, 0.0000, 0.0000)
Hf (0.5000, 0.0000, 0.0000)
Zr (0.0000, 0.2422, 0.5000)
Zr (0.0000, 0.7578, 0.5000)
Zr (0.2500, 0.2455, 0.1525)
Zr (0.2500, 0.7545, 0.1525)
Zr (0.5000, 0.2422, 0.5000)
Zr (0.5000, 0.7578, 0.5000)
Zr (0.7500, 0.2455, 0.8475)
Zr (0.7500, 0.7545, 0.8475)
In (0.0000, 0.5000, 0.0000)
In (0.2500, 0.0000, 0.6619)
In (0.2500, 0.5000, 0.6478)
In (0.5000, 0.5000, 0.0000)
In (0.7500, 0.0000, 0.3381)
In (0.7500, 0.5000, 0.3522)

- Total magnetic moment: 0.000 Bohr magnetons per cell
- Theoretical density: 8.2 g/cm³
- Raw total energy: -6.757 eV/atom



No. 12
Entry from Alexandria via LeMat-Bulk: a relaxed structure of Hf2Zr4In (GGA-PBE).

abc: 5.6732 7.5119 8.5815
angles: 79.23 77.09 67.97
Element x y z (fractional)
Hf (0.0000, 0.0000, 0.0000)
Hf (0.1603, 0.5803, 0.9713)
Hf (0.4006, 0.1679, 0.1137)
Hf (0.6748, 0.0685, 0.4696)
Zr (0.1052, 0.2905, 0.4273)
Zr (0.2048, 0.8435, 0.3055)
Zr (0.2602, 0.8745, 0.6560)
Zr (0.2778, 0.2424, 0.7651)
Zr (0.6081, 0.8352, 0.9160)
Zr (0.7019, 0.3543, 0.8134)
Zr (0.7384, 0.3869, 0.1577)
Zr (0.7662, 0.7358, 0.2658)
In (0.4963, 0.4842, 0.4963)
In (0.9095, 0.6549, 0.6133)

- Total magnetic moment: 0.000 Bohr magnetons per cell
- Energy above the lowest structure with this stoichiometry: 0.0 kJ/mol of formula units
- Theoretical density: 8.5 g/cm³
- Raw total energy: -8.092 eV/atom



- Which value of raw total energy does entry 11 give?
  -6.757 eV/atom